(1)
Sc2ZnHg, optimized geometry, DFT PBE; distance to the lowest polymorph of the same formula = 1.263 eV per formula unit; formation energy from the elements = -87 meV/atom; DOS at the Fermi energy = 3.2 states/eV/cell; space-group type = No. 160; magnetization = 0.780 μB/f.u.
1.0
1.687 0.974 9.069
-1.687 0.974 9.069
0.000 -1.948 9.069
Sc Zn Hg
2 1 1
Direct
0.000 0.000 0.000 Sc
0.239 0.239 0.239 Sc
0.745 0.745 0.745 Zn
0.488 0.488 0.488 Hg


(2)
Sc2ZnHg, optimized geometry, DFT PBE; distance to the lowest polymorph of the same formula = 0.726 eV per formula unit; formation energy from the elements = -221 meV/atom; DOS at the Fermi energy = 4.0 states/eV/cell; space-group type = No. 166; magnetization = 0.000 μB/f.u.
1.0
1.697 0.980 8.807
-1.697 0.980 8.807
0.000 -1.960 8.807
Sc Zn Hg
2 1 1
Direct
0.246 0.246 0.246 Sc
0.754 0.754 0.754 Sc
0.500 0.500 0.500 Zn
0.000 0.000 0.000 Hg


(3)
Sc2Zn3Hg, optimized geometry, DFT PBE; distance to the lowest polymorph of the same formula = 0.000 eV per formula unit; formation energy from the elements = -347 meV/atom; DOS at the Fermi energy = 7.7 states/eV/cell; space-group type = No. 69; magnetization = 0.003 μB/f.u.
1.0
0.000 4.481 7.767
3.205 0.000 7.767
3.205 4.481 0.000
Sc Zn Hg
4 6 2
Direct
0.249 0.751 0.751 Sc
0.250 0.250 0.250 Sc
0.750 0.750 0.750 Sc
0.751 0.249 0.249 Sc
0.162 0.162 0.838 Zn
0.162 0.677 0.323 Zn
0.323 0.838 0.162 Zn
0.677 0.162 0.838 Zn
0.838 0.323 0.677 Zn
0.838 0.838 0.162 Zn
0.334 0.334 0.666 Hg
0.666 0.666 0.334 Hg


(4)
Sc2ZnHg3, optimized geometry, DFT PBE; formation energy from the elements = -296 meV/atom; DOS at the Fermi energy = 7.5 states/eV/cell; space-group type = No. 69; magnetization = 0.583 μB/f.u.
1.0
0.000 4.741 8.187
3.215 0.000 8.187
3.215 4.741 0.000
Sc Zn Hg
4 2 6
Direct
0.248 0.752 0.752 Sc
0.250 0.250 0.250 Sc
0.750 0.750 0.750 Sc
0.752 0.248 0.248 Sc
0.333 0.333 0.667 Zn
0.667 0.667 0.333 Zn
0.172 0.172 0.828 Hg
0.173 0.654 0.346 Hg
0.346 0.827 0.173 Hg
0.654 0.173 0.827 Hg
0.827 0.346 0.654 Hg
0.828 0.828 0.172 Hg


(5)
Sc4Zn2Hg5, optimized geometry, DFT PBE; formation energy from the elements = -226 meV/atom; DOS at the Fermi energy = 8.1 states/eV/cell; space-group type = No. 12; magnetization = 0.000 μB/f.u.
1.0
8.417 -1.793 0.000
8.417 1.793 0.000
-0.147 0.000 7.972
Sc Zn Hg
4 2 5
Direct
0.027 0.027 0.292 Sc
0.328 0.328 0.906 Sc
0.672 0.672 0.094 Sc
0.973 0.973 0.708 Sc
0.410 0.410 0.447 Zn
0.590 0.590 0.553 Zn
0.153 0.153 0.800 Hg
0.200 0.200 0.381 Hg
0.500 0.500 0.000 Hg
0.800 0.800 0.619 Hg
0.847 0.847 0.200 Hg


(6)
Sc4Zn3Hg2, optimized geometry, DFT PBE; formation energy from the elements = -291 meV/atom; DOS at the Fermi energy = 7.8 states/eV/cell; space-group type = No. 12; magnetization = 0.619 μB/f.u.
1.0
4.757 -2.277 0.000
4.757 2.277 0.000
-3.148 0.000 8.153
Sc Zn Hg
4 3 2
Direct
0.046 0.046 0.343 Sc
0.350 0.350 0.107 Sc
0.650 0.650 0.893 Sc
0.954 0.954 0.657 Sc
0.000 0.000 0.000 Zn
0.363 0.363 0.441 Zn
0.637 0.637 0.559 Zn
0.291 0.291 0.742 Hg
0.709 0.709 0.258 Hg


(7)
Sc5Zn4Hg, optimized geometry, DFT PBE; formation energy from the elements = -386 meV/atom; DOS at the Fermi energy = 8.3 states/eV/cell; space-group type = No. 123; magnetization = 0.000 μB/f.u.
1.0
3.366 0.000 0.000
0.000 3.366 0.000
0.000 0.000 17.101
Sc Zn Hg
5 4 1
Direct
0.000 0.000 0.000 Sc
0.000 0.000 0.195 Sc
0.000 0.000 0.388 Sc
0.000 0.000 0.612 Sc
0.000 0.000 0.805 Sc
0.500 0.500 0.098 Zn
0.500 0.500 0.290 Zn
0.500 0.500 0.710 Zn
0.500 0.500 0.902 Zn
0.500 0.500 0.500 Hg


(8)
Sc2ZnHg, optimized geometry, DFT PBE; distance to the lowest polymorph of the same formula = 0.000 eV per formula unit; formation energy from the elements = -403 meV/atom; DOS at the Fermi energy = 3.7 states/eV/cell; space-group type = No. 123; magnetization = 0.000 μB/f.u.
1.0
3.399 0.000 0.000
0.000 3.399 0.000
0.000 0.000 7.013
Sc Zn Hg
2 1 1
Direct
0.000 0.000 0.232 Sc
0.000 0.000 0.768 Sc
0.500 0.500 0.000 Zn
0.500 0.500 0.500 Hg